DFT (PBE-GGA) results for a geometry-optimized DyErI2O2 structure. Values from VASP.

SG: No. 99
Electronic total energy: -6.42 eV/atom

Cell and atoms, written as Quantum ESPRESSO input:
```
&SYSTEM
  ibrav = 0, nat = 6, ntyp = 4
/
ATOMIC_SPECIES
Dy 162.50 Dy.upf
Er 167.26 Er.upf
I 126.90 I.upf
O 16.00 O.upf
CELL_PARAMETERS angstrom
3.909 0.000 0.000
0.000 3.909 0.000
0.000 0.000 9.281
ATOMIC_POSITIONS crystal
Dy 0.000 0.000 0.882
Er 0.500 0.500 0.116
I 0.000 0.000 0.321
I 0.500 0.500 0.677
O 0.500 0.000 0.001
O 0.000 0.500 0.001
```